{
  "formula": "Y2TeW",
  "functional": "PBE",
  "state": "relaxed",
  "total_energy_ev_per_atom": -7.15,
  "spacegroup": "No. 99",
  "cell": [[3.5017, 0.0000, 0.0000], [0.0000, 3.5017, 0.0000], [0.0000, 0.0000, 8.2959]],
  "species": ["Te", "W", "Y", "Y"],
  "fractional_positions": [[0.0000, 0.0000, 0.5513], [0.5000, 0.5000, 0.7091], [0.5000, 0.5000, 0.2945], [0.0000, 0.0000, 0.9451]]
}

{
  "formula": "Y2TeW",
  "functional": "PBE",
  "state": "relaxed",
  "total_energy_ev_per_atom": -6.90,
  "spacegroup": "No. 216",
  "cell": [[5.0410, 0.0000, 0.0000], [2.5205, 4.3656, 0.0000], [2.5205, 1.4552, 4.1159]],
  "species": ["W", "Y", "Y", "Te"],
  "fractional_positions": [[0.7500, 0.7500, 0.7500], [0.2500, 0.2500, 0.2500], [0.0000, 0.0000, 0.0000], [0.5000, 0.5000, 0.5000]]
}

{
  "formula": "Y2TeW",
  "functional": "PBE",
  "state": "relaxed",
  "total_energy_ev_per_atom": -7.10,
  "spacegroup": "No. 119",
  "cell": [[-4.0364, -1.5443, -4.0800], [1.8166, -3.4559, -4.4811], [0.4032, -0.0098, 5.9297]],
  "species": ["Y", "Y", "Te", "W"],
  "fractional_positions": [[0.2500, 0.7500, 0.5000], [0.0000, 0.0000, 0.0000], [0.5000, 0.5000, 0.0000], [0.7500, 0.2500, 0.5000]]
}

{
  "formula": "YTe2W",
  "functional": "PBE",
  "state": "relaxed",
  "total_energy_ev_per_atom": -6.49,
  "spacegroup": "No. 123",
  "cell": [[-0.4822, 0.9726, 4.9078], [-1.5022, -4.7312, 0.7900], [3.3747, -0.9836, 0.5265]],
  "species": ["Y", "Te", "Te", "W"],
  "fractional_positions": [[0.0000, 0.5000, 0.5000], [0.0000, 0.0000, 0.0000], [0.5000, 0.5000, 0.0000], [0.5000, 0.0000, 0.5000]]
}

{
  "formula": "YTe3W",
  "functional": "PBE",
  "state": "relaxed",
  "total_energy_ev_per_atom": -5.49,
  "spacegroup": "No. 221",
  "cell": [[-2.9767, 2.3624, 3.7629], [-4.3451, -0.6017, -3.0594], [-0.9281, -4.7601, 2.2543]],
  "species": ["W", "Y", "Te", "Te", "Te"],
  "fractional_positions": [[0.0000, 0.0000, 0.0000], [0.5000, 0.5000, 0.5000], [0.0000, 0.5000, 0.0000], [0.0000, 0.0000, 0.5000], [0.5000, 0.0000, 0.0000]]
}

{
  "formula": "YTe2W",
  "functional": "PBE",
  "state": "relaxed",
  "total_energy_ev_per_atom": -6.33,
  "spacegroup": "No. 10",
  "cell": [[-2.7077, -3.4298, -0.4608], [2.9100, -2.2172, -0.5962], [0.9501, -1.5308, 5.8112]],
  "species": ["Te", "Te", "Y", "W"],
  "fractional_positions": [[0.0000, 0.1068, 0.0145], [0.0000, 0.3932, 0.4855], [0.5000, 0.7500, 0.7500], [0.5000, 0.2500, 0.2500]]
}

Number 1: ΔE_f (raw) 0.11 eV/atom. Number 2: ΔE_f (raw) 0.35 eV/atom. Number 3: ΔE_f (raw) 0.15 eV/atom. Number 4: ΔE_f (raw) -0.06 eV/atom. Number 5: ΔE_f (raw) 0.28 eV/atom. Number 6: ΔE_f (raw) 0.09 eV/atom.